Record 1
An optimized crystal structure of TaTiV2O6, computed with PBE+U.

Summary:
- space group = R3 (146)
- magnetic moment (μB/f.u.) = 5.0
- electronic total energy (eV/cell) = -88.3

Unit cell a=5.6609 b=5.6609 c=5.6609 alpha=55.07 beta=55.07 gamma=55.07
Fractional coordinates of all 10 atoms:
1 Ta 0.0000 0.0000 0.0000
2 Ti 0.4980 0.4980 0.4980
3 V 0.1968 0.1968 0.1968
4 V 0.6965 0.6965 0.6965
5 O 0.1264 0.3849 0.7746
6 O 0.2721 0.8893 0.6276
7 O 0.3849 0.7746 0.1264
8 O 0.6276 0.2721 0.8893
9 O 0.7746 0.1264 0.3849
10 O 0.8893 0.6276 0.2721

Record 2
An optimized crystal structure of TaTiVO2, computed with PBE+U.

Summary:
- space group = P4/mmm (123)
- magnetic moment (μB/f.u.) = 0.2
- electronic total energy (eV/cell) = -37.5

Unit cell a=3.7421 b=3.7421 c=5.4178 alpha=90.00 beta=90.00 gamma=90.00
Fractional coordinates of all 5 atoms:
1 Ta 0.0000 0.0000 0.0000
2 Ti 0.5000 0.5000 0.0000
3 V 0.0000 0.0000 0.5000
4 O 0.0000 0.5000 0.5000
5 O 0.5000 0.0000 0.5000

Record 3
An optimized crystal structure of TaTi2VO, computed with PBE+U.

Summary:
- space group = P4/mmm (123)
- magnetic moment (μB/f.u.) = 0.0
- electronic total energy (eV/cell) = -37.1

Unit cell a=4.9049 b=4.9049 c=3.5618 alpha=90.00 beta=90.00 gamma=90.00
Fractional coordinates of all 5 atoms:
1 Ta 0.0000 0.0000 0.0000
2 Ti 0.0000 0.5000 0.5000
3 Ti 0.5000 0.0000 0.5000
4 V 0.5000 0.5000 0.5000
5 O 0.5000 0.5000 0.0000